BaGaHg2Au | GGA-PBE | relaxed

Cell: 5.3059 5.3059 5.2000 Å, 90.00 90.00 90.00°
Sites, in units of the cell vectors:
Ga  0.0000  0.0000  0.0000
Ba  0.5000  0.5000  0.5000
Hg  0.0000  0.5000  0.0000
Hg  0.5000  0.0000  0.0000
Au  0.0000  0.0000  0.5000

Values from the calculation:
Total magnetic moment   0.0 μB per formula unit
Space group   P4/mmm (123)
Energy of formation from the pure elements   -0.3193 eV/atom
Volume   146 Å³/cell